Entry 1:
Density functional theory data (PBE-GGA) for an optimized crystal structure of Na3In4Hg2.

a b c (Å): 11.455 5.042 9.517
angles (deg): 90.00 119.69 90.00
Space group C2/m (No. 12)
Symmetry-distinct sites (fractional):
Na1 0.000 0.000 0.000
Na2 0.179 0.500 0.652
In1 0.030 0.000 0.367
In2 0.230 0.500 0.066
Hg1 0.099 0.500 0.267

Results
Calculated formation energy (eV/atom): -0.1627
ΔE to the lowest computed polymorph (eV/atom): 0.0000
Crystal system: monoclinic
ρ (g cm⁻³): 6.46

Entry 2:
Density functional theory data (PBE-GGA) for an optimized crystal structure of Na2InHg2.

a b c (Å): 8.940 8.940 3.362
angles (deg): 90.00 90.00 90.00
Space group P4/mbm (No. 127)
Symmetry-distinct sites (fractional):
Na1 0.138 0.362 0.000
In1 0.000 0.000 0.000
Hg1 0.159 0.659 0.500

Results
Calculated formation energy (eV/atom): -0.1206
ΔE to the lowest computed polymorph (eV/atom): 0.0815
Crystal system: tetragonal
ρ (g cm⁻³): 6.95

Number 1: DOS at the Fermi energy 0.36 states/eV/atom. Number 2: DOS at the Fermi energy 0.36 states/eV/atom.